No. 1
A plane-wave DFT calculation with PBE was carried out for a relaxed YNiTe2 crystal.

## Properties
Energy relative to the elements, uncorrected   -0.41 eV/atom
V   23.36 Å³/atom
DOS(E_F)   5.88 states/eV/cell

POSCAR file:
```
YNiTe2
1.0
4.201 0.000 0.000
0.000 4.201 0.000
0.000 0.000 10.589
Y Ni Te
2 2 4
Direct
0.000 0.000 0.000
0.500 0.500 0.500
0.000 0.500 0.750
0.500 0.000 0.250
0.000 0.000 0.500
0.000 0.500 0.250
0.500 0.000 0.750
0.500 0.500 0.000
```

=====

No. 2
A plane-wave DFT calculation with PBE was carried out for a relaxed Cr2HgPt crystal.

## Properties
V   15.83 Å³/atom
DOS(E_F)   2.66 states/eV/cell
Energy relative to the elements   0.16 eV/atom

POSCAR file:
```
Cr2HgPt
1.0
2.950 0.000 0.000
0.000 2.950 0.000
0.000 0.000 7.275
Cr Hg Pt
2 1 1
Direct
0.000 0.000 0.000
0.500 0.500 0.182
0.000 0.000 0.470
0.500 0.500 0.765
```

=====

No. 3
A plane-wave DFT calculation with PBE was carried out for a relaxed Li12Mg6In crystal.

## Properties
V   21.16 Å³/atom
Energy above the most stable polymorph in this dataset   0 meV/atom
DOS(E_F)   8.27 states/eV/cell
Energy relative to the elements   -0.04 eV/atom

POSCAR file:
```
Li12Mg6In
1.0
5.329 3.077 4.087
-5.329 3.077 4.087
0.000 -6.153 4.087
Li Mg In
12 6 1
Direct
0.032 0.295 0.948
0.052 0.968 0.705
0.131 0.351 0.452
0.295 0.948 0.032
0.351 0.452 0.131
0.452 0.131 0.351
0.548 0.869 0.649
0.649 0.548 0.869
0.705 0.052 0.968
0.869 0.649 0.548
0.948 0.032 0.295
0.968 0.705 0.052
0.221 0.767 0.384
0.233 0.616 0.779
0.384 0.221 0.767
0.616 0.779 0.233
0.767 0.384 0.221
0.779 0.233 0.616
0.500 0.500 0.500
```